# 1
Computed, not measured: a relaxed structure of LaTbZnPb at the PBE-GGA level of DFT.

Cell: 5.3940 5.3940 5.3940 Å, 60.00 60.00 60.00°
With the nearest neighbours (Å) after each atom.
Fractional positions:
1 La 0.0000 0.0000 0.0000  4 Pb 3.30, 4 Zn 3.30
2 Tb 0.5000 0.5000 0.5000  4 Pb 3.30, 4 Zn 3.30
3 Zn 0.7500 0.7500 0.7500  4 Tb 3.30, 4 La 3.30
4 Pb 0.2500 0.2500 0.2500  4 Tb 3.30, 4 La 3.30

Output
Space group = F-43m
ΔE_f = -0.409 eV/atom

***

# 2
Computed, not measured: a relaxed structure of La2TcPb at the PBE-GGA level of DFT.

Cell: 5.1938 5.1938 5.1938 Å, 60.00 60.00 60.00°
With the nearest neighbours (Å) after each atom.
Fractional positions:
1 La 0.0000 0.0000 0.0000  4 La 3.18, 4 Pb 3.18
2 La 0.2500 0.2500 0.2500  4 La 3.18, 4 Tc 3.18
3 Tc 0.5000 0.5000 0.5000  4 La 3.18, 4 Pb 3.18
4 Pb 0.7500 0.7500 0.7500  4 Tc 3.18, 4 La 3.18

Output
Space group = F-43m
ΔE_f = 0.058 eV/atom

***

# 3
Computed, not measured: a relaxed structure of LaTcPb2 at the PBE-GGA level of DFT.

Cell: 5.2445 5.2445 5.2445 Å, 60.00 60.00 60.00°
With the nearest neighbours (Å) after each atom.
Fractional positions:
1 La 0.0000 0.0000 0.0000  4 Pb 3.21, 4 Tc 3.21
2 Tc 0.2500 0.2500 0.2500  4 Pb 3.21, 4 La 3.21
3 Pb 0.5000 0.5000 0.5000  4 Pb 3.21, 4 Tc 3.21
4 Pb 0.7500 0.7500 0.7500  4 Pb 3.21, 4 La 3.21

Output
Space group = F-43m
ΔE_f = 0.325 eV/atom

***

# 4
Computed, not measured: a relaxed structure of La2TcPb at the PBE-GGA level of DFT.

Cell: 3.8634 6.3608 6.3608 Å, 46.75 90.00 90.00°
With the nearest neighbours (Å) after each atom.
Fractional positions:
1 La 0.0000 0.0000 0.0000  4 Tc 3.18, 3 Pb 3.46-3.48
2 La 0.5000 0.3104 0.3104  1 Tc 2.38
3 Tc 0.5000 0.5143 0.5143  1 La 2.38
4 Pb 0.0000 0.7021 0.7021  2 Tc 2.92

Output
Space group = Amm2
ΔE_f = -0.189 eV/atom

***

# 5
Computed, not measured: a relaxed structure of La2TcPb at the PBE-GGA level of DFT.

Cell: 5.0183 5.0183 4.2715 Å, 90.00 90.00 90.00°
With the nearest neighbours (Å) after each atom.
Fractional positions:
1 La 0.0000 0.5000 0.0000  4 Pb 3.30, 4 Tc 3.30, 4 La 3.55
2 La 0.5000 0.0000 0.0000  4 Pb 3.30, 4 Tc 3.30, 4 La 3.55
3 Tc 0.0000 0.0000 0.5000  8 La 3.30, 4 Pb 3.55
4 Pb 0.5000 0.5000 0.5000  8 La 3.30, 4 Tc 3.55

Output
Space group = P4/mmm
ΔE_f = 0.010 eV/atom

***

# 6
Computed, not measured: a relaxed structure of LaTcPb2 at the PBE-GGA level of DFT.

Cell: 4.5971 4.5971 4.8843 Å, 90.00 90.00 90.00°
With the nearest neighbours (Å) after each atom.
Fractional positions:
1 La 0.0000 0.0000 0.0000  4 Tc 3.25, 8 Pb 3.35
2 Tc 0.5000 0.5000 0.0000  4 La 3.25, 8 Pb 3.35
3 Pb 0.0000 0.5000 0.5000  4 Pb 3.25, 4 La 3.35, 4 Tc 3.35
4 Pb 0.5000 0.0000 0.5000  4 Pb 3.25, 4 La 3.35, 4 Tc 3.35

Output
Space group = P4/mmm
ΔE_f = 0.208 eV/atom

***

# 7
Computed, not measured: a relaxed structure of LaTcPb2 at the PBE-GGA level of DFT.

Cell: 10.1834 10.1834 10.1834 Å, 20.12 20.12 20.12°
With the nearest neighbours (Å) after each atom.
Fractional positions:
1 La 0.0000 0.0000 0.0000  3 Tc 2.89
2 Tc 0.2653 0.2653 0.2653  3 Pb 2.86, 3 La 2.89
3 Pb 0.5319 0.5319 0.5319  3 Tc 2.86
4 Pb 0.7673 0.7673 0.7673  9 Pb 3.56-3.58, 3 La 3.64

Output
Space group = R3m
ΔE_f = 0.303 eV/atom

***

# 8
Computed, not measured: a relaxed structure of LaTcPb2 at the PBE-GGA level of DFT.

Cell: 9.8719 9.8719 9.8719 Å, 20.42 20.42 20.42°
With the nearest neighbours (Å) after each atom.
Fractional positions:
1 La 0.0000 0.0000 0.0000  6 Pb 3.48, 6 La 3.50
2 Tc 0.5000 0.5000 0.5000  6 Pb 2.84
3 Pb 0.2357 0.2357 0.2357  3 Tc 2.84
4 Pb 0.7643 0.7643 0.7643  3 Tc 2.84

Output
Space group = R-3m
ΔE_f = 0.251 eV/atom

***

# 9
Computed, not measured: a relaxed structure of La2TcPb at the PBE-GGA level of DFT.

Cell: 3.4928 3.4928 9.1100 Å, 90.00 90.00 90.00°
With the nearest neighbours (Å) after each atom.
Fractional positions:
1 La 0.0000 0.0000 0.1950  4 Tc 3.04
2 La 0.0000 0.0000 0.8050  4 Tc 3.04
3 Tc 0.5000 0.5000 0.0000  8 La 3.04
4 Pb 0.5000 0.5000 0.5000  4 Pb 3.49, 8 La 3.72

Output
Space group = P4/mmm
ΔE_f = -0.133 eV/atom

***

# 10
Computed, not measured: a relaxed structure of LaTcPb2 at the PBE-GGA level of DFT.

Cell: 5.6038 5.6038 6.4369 Å, 115.37 115.37 37.04°
With the nearest neighbours (Å) after each atom.
Fractional positions:
1 La 0.0000 0.0000 0.0000  1 Tc 2.57
2 Tc 0.2350 0.2350 0.9766  1 La 2.57, 4 Pb 2.84-2.85
3 Pb 0.6321 0.6321 0.5905  2 Tc 2.84, 1 Pb 3.06
4 Pb 0.8305 0.8305 0.3636  2 Tc 2.85, 1 Pb 3.06

Output
Space group = Cm
ΔE_f = 0.086 eV/atom

***

# 11
Computed, not measured: a relaxed structure of LaTcPb2 at the PBE-GGA level of DFT.

Cell: 5.9308 5.9308 5.9308 Å, 134.25 134.25 66.69°
With the nearest neighbours (Å) after each atom.
Fractional positions:
1 La 0.0000 0.0000 0.0000  8 Pb 3.26-3.38, 4 Tc 3.38
2 Tc 0.7500 0.2500 0.5000  8 Pb 3.26-3.38, 4 La 3.38
3 Pb 0.2500 0.7500 0.5000  4 Tc 3.26, 4 La 3.38, 4 Pb 3.38
4 Pb 0.5000 0.5000 0.0000  4 La 3.26, 4 Pb 3.38, 4 Tc 3.38

Output
Space group = I-4m2
ΔE_f = 0.285 eV/atom

***

# 12
Computed, not measured: a relaxed structure of LaTcPb2 at the PBE-GGA level of DFT.

Cell: 3.5205 3.5205 7.8630 Å, 90.00 90.00 90.00°
With the nearest neighbours (Å) after each atom.
Fractional positions:
1 La 0.0000 0.0000 0.0000  8 Pb 3.42, 4 La 3.52
2 Tc 0.0000 0.0000 0.5000  8 Pb 2.95
3 Pb 0.5000 0.5000 0.2975  4 Tc 2.95, 1 Pb 3.18
4 Pb 0.5000 0.5000 0.7025  4 Tc 2.95, 1 Pb 3.18

Output
Space group = P4/mmm
ΔE_f = 0.101 eV/atom

***

# 13
Computed, not measured: a relaxed structure of LaTcPb2 at the PBE-GGA level of DFT.

Cell: 5.1529 5.1529 5.1529 Å, 60.00 60.00 60.00°
With the nearest neighbours (Å) after each atom.
Fractional positions:
1 La 0.0000 0.0000 0.0000  8 Pb 3.16
2 Tc 0.5000 0.5000 0.5000  8 Pb 3.16
3 Pb 0.2500 0.2500 0.2500  4 La 3.16, 4 Tc 3.16
4 Pb 0.7500 0.7500 0.7500  4 Tc 3.16, 4 La 3.16

Output
Space group = Fm-3m
ΔE_f = 0.127 eV/atom

***

# 14
Computed, not measured: a relaxed structure of La2TcPb at the PBE-GGA level of DFT.

Cell: 6.8324 6.8324 6.8324 Å, 149.79 136.00 54.30°
With the nearest neighbours (Å) after each atom.
Fractional positions:
1 La 0.0000 0.0000 0.0000  4 Tc 3.12, 2 Pb 3.45
2 La 0.6955 0.1955 0.5000  2 Tc 3.02
3 Tc 0.4951 0.4951 0.0000  2 Pb 2.87, 6 La 3.02-3.12
4 Pb 0.3100 0.8100 0.5000  2 Tc 2.87

Output
Space group = Imm2
ΔE_f = -0.055 eV/atom

***

# 15
Computed, not measured: a relaxed structure of LaTcPb2 at the PBE-GGA level of DFT.

Cell: 7.1425 7.1425 7.1425 Å, 152.14 141.17 48.46°
With the nearest neighbours (Å) after each atom.
Fractional positions:
1 La 0.0000 0.0000 0.0000  2 Tc 2.98
2 Tc 0.8130 0.3130 0.5000  6 Pb 2.90-2.93, 2 La 2.98
3 Pb 0.3167 0.8167 0.5000  4 Tc 2.93
4 Pb 0.6339 0.6339 0.0000  2 Tc 2.90

Output
Space group = Imm2
ΔE_f = 0.166 eV/atom

***

# 16
Computed, not measured: a relaxed structure of La3TcPb at the PBE-GGA level of DFT.

Cell: 5.4479 5.4479 5.4479 Å, 90.00 90.00 90.00°
With the nearest neighbours (Å) after each atom.
Fractional positions:
1 La 0.0000 0.0000 0.5000  2 Tc 2.72
2 La 0.0000 0.5000 0.0000  2 Tc 2.72
3 La 0.5000 0.0000 0.0000  2 Tc 2.72
4 Tc 0.0000 0.0000 0.0000  6 La 2.72
5 Pb 0.5000 0.5000 0.5000  12 La 3.85

Output
Space group = Pm-3m
ΔE_f = -0.266 eV/atom

***

# 17
Computed, not measured: a relaxed structure of LaTc3Pb at the PBE-GGA level of DFT.

Cell: 4.9382 4.9382 4.9382 Å, 90.00 90.00 90.00°
With the nearest neighbours (Å) after each atom.
Fractional positions:
1 La 0.0000 0.0000 0.0000  6 Tc 2.47
2 Tc 0.0000 0.0000 0.5000  2 La 2.47
3 Tc 0.0000 0.5000 0.0000  2 La 2.47
4 Tc 0.5000 0.0000 0.0000  2 La 2.47
5 Pb 0.5000 0.5000 0.5000  12 Tc 3.49

Output
Space group = Pm-3m
ΔE_f = 1.940 eV/atom

***

# 18
Computed, not measured: a relaxed structure of LaTc4Pb at the PBE-GGA level of DFT.

Cell: 5.4465 5.4465 5.4465 Å, 60.00 60.00 60.00°
With the nearest neighbours (Å) after each atom.
Fractional positions:
1 La 0.0000 0.0000 0.0000  12 Tc 3.20, 4 Pb 3.34
2 Tc 0.3768 0.3768 0.3768  6 Tc 2.68-2.76
3 Tc 0.3768 0.3768 0.8697  6 Tc 2.68-2.76
4 Tc 0.3768 0.8697 0.3768  6 Tc 2.68-2.76
5 Tc 0.8697 0.3768 0.3768  6 Tc 2.68-2.76
6 Pb 0.7500 0.7500 0.7500  12 Tc 3.19, 4 La 3.34

Output
Space group = F-43m
ΔE_f = 0.299 eV/atom

***

# 19
Computed, not measured: a relaxed structure of La2TcPb at the PBE-GGA level of DFT.

Cell: 5.8447 5.8447 5.8447 Å, 137.57 123.06 73.52°
With the nearest neighbours (Å) after each atom.
Fractional positions:
1 La 0.1997 0.1997 0.0000  2 Tc 2.82
2 La 0.8003 0.8003 0.0000  2 Tc 2.82
3 Tc 0.0000 0.5000 0.5000  4 La 2.82
4 Pb 0.5000 0.0000 0.5000  8 La 3.36-3.52, 4 Tc 3.50

Output
Space group = Immm
ΔE_f = -0.045 eV/atom

***

# 20
Computed, not measured: a relaxed structure of LaTcPb2 at the PBE-GGA level of DFT.

Cell: 11.5370 11.5370 11.5370 Å, 157.72 157.72 31.72°
With the nearest neighbours (Å) after each atom.
Fractional positions:
1 La 0.0000 0.0000 0.0000  4 Tc 3.15, 4 Pb 3.23
2 La 0.7500 0.2500 0.5000  4 Tc 3.15, 4 Pb 3.23
3 Tc 0.2500 0.7500 0.5000  4 La 3.15, 4 Pb 3.16
4 Tc 0.5000 0.5000 0.0000  4 La 3.15, 4 Pb 3.16
5 Pb 0.1475 0.6250 0.0225  4 Pb 3.01-3.30, 2 Tc 3.16, 2 La 3.23
6 Pb 0.3750 0.3975 0.5225  4 Pb 3.01-3.30, 2 Tc 3.16, 2 La 3.23
7 Pb 0.6025 0.1250 0.9775  4 Pb 3.01-3.30, 2 Tc 3.16, 2 La 3.23
8 Pb 0.8750 0.8525 0.4775  4 Pb 3.01-3.30, 2 Tc 3.16, 2 La 3.23

Output
Space group = I-42d
ΔE_f = 0.409 eV/atom